Computed, not measured: an optimized crystal structure of LaSi3Os2 at the PBE-GGA level of DFT.

CIF file:
```
data_LaSi3Os2
_cell_length_a 9.748
_cell_length_b 7.516
_cell_length_c 5.638
_cell_angle_alpha 90.00
_cell_angle_beta 90.00
_cell_angle_gamma 90.00
_space_group_name_H-M_alt 'C m c m'
_space_group_IT_number 63
_space_group_name_Hall '-C 2c 2'
loop_
_atom_site_label
_atom_site_type_symbol
_atom_site_fract_x
_atom_site_fract_y
_atom_site_fract_z
La1 La 0.000 0.162 0.250
Si1 Si 0.000 0.427 0.750
Si2 Si 0.184 0.213 0.750
Os1 Os 0.199 0.500 0.000
```

Output
- Uncorrected energy: -7.812 eV/atom